[1]
Crystalline LiGe2Pt4 at its relaxed geometry. Source: the Alexandria database, functional PBE.

As for the energy above the lowest structure with this stoichiometry: 0.000 eV/f.u. The formation energy comes out at -0.4895 eV per atom. As for the calculated total energy: -5.534 eV per atom.

The structure belongs to space group Pnma (No. 62); the cell edges are 16.5178, 4.1902 and 6.4210 Å and the angles 90.00°, 90.00° and 90.00°. The asymmetric unit holds Li at (0.1535, 0.2500, 0.1336), Ge at (0.0489, 0.7500, 0.2253), Ge at (0.1954, 0.2500, 0.6997), Pt at (0.0396, 0.7500, 0.8437), Pt at (0.0637, 0.2500, 0.5158), Pt at (0.1740, 0.7500, 0.4399) and Pt at (0.2108, 0.7500, 0.8975).

=====

[2]
Crystalline Li2GePt at its relaxed geometry. Source: the Alexandria database, functional PBE.

The formation energy comes out at -0.3049 eV per atom. As for the calculated total energy: -3.926 eV per atom.

The structure belongs to space group I-42d (No. 122); the cell edges are 3.7102, 3.7102 and 18.5698 Å and the angles 90.00°, 90.00° and 90.00°. The asymmetric unit holds Li at (0.2439, 0.2500, 0.1250), Ge at (0.0000, 0.0000, 0.5000) and Pt at (0.0000, 0.0000, 0.0000).

=====

[3]
Crystalline LiGe2Pt6 at its relaxed geometry. Source: the Alexandria database, functional PBE.

As for the energy above the lowest structure with this stoichiometry: 0.000 eV/f.u. The formation energy comes out at -0.3229 eV per atom. As for the calculated total energy: -5.589 eV per atom.

The structure belongs to space group Cm (No. 8); the cell edges are 6.5287, 11.3268 and 3.6973 Å and the angles 90.00°, 90.01° and 90.00°. The asymmetric unit holds Li at (0.0000, 0.0000, 0.0000), Ge at (0.0001, 0.3332, 0.5062), Pt at (0.1068, 0.5000, 0.0013), Pt at (0.1974, 0.1963, 0.0013), Pt at (0.2589, 0.0000, 0.5001) and Pt at (0.3707, 0.3707, 0.5001).

=====

[4]
Crystalline Li2GePt at its relaxed geometry. Source: the Alexandria database, functional PBE.

The formation energy comes out at -0.5303 eV per atom. As for the calculated total energy: -4.152 eV per atom.

The structure belongs to space group P4/mmm (No. 123); the cell edges are 3.7318, 3.7318 and 4.1149 Å and the angles 90.00°, 90.00° and 90.00°. The asymmetric unit holds Li at (0.0000, 0.5000, 0.0000), Ge at (0.0000, 0.0000, 0.5000) and Pt at (0.5000, 0.5000, 0.5000).

=====

[5]
Crystalline LiPuGe2Pt at its relaxed geometry. Source: the Alexandria database, functional PBE.

The formation energy comes out at -0.6046 eV per atom. As for the calculated total energy: -6.909 eV per atom.

The structure belongs to space group I-4m2 (No. 119); the cell edges are 4.1116, 4.1116 and 10.8012 Å and the angles 90.00°, 90.00° and 90.00°. The asymmetric unit holds Li at (0.0000, 0.0000, 0.0000), Pu at (0.0000, 0.5000, 0.2500), Ge at (0.0000, 0.5000, 0.6358) and Pt at (0.0000, 0.0000, 0.5000).

=====

[6]
Crystalline LiPu2Ge3Pt4 at its relaxed geometry. Source: the Alexandria database, functional PBE.

The formation energy comes out at -0.7120 eV per atom. As for the calculated total energy: -7.571 eV per atom.

The structure belongs to space group P-4m2 (No. 115); the cell edges are 4.1031, 4.1031 and 11.0736 Å and the angles 90.00°, 90.00° and 90.00°. The asymmetric unit holds Li at (0.0000, 0.0000, 0.0000), Pu at (0.0000, 0.5000, 0.7536), Ge at (0.0000, 0.5000, 0.3638), Ge at (0.5000, 0.5000, 0.0000), Pt at (0.0000, 0.0000, 0.5000), Pt at (0.0000, 0.5000, 0.1406) and Pt at (0.5000, 0.5000, 0.5000).

=====

[7]
Crystalline LiPu2Ge4Pt3 at its relaxed geometry. Source: the Alexandria database, functional PBE.

The formation energy comes out at -0.6517 eV per atom. As for the calculated total energy: -7.369 eV per atom.

The structure belongs to space group P-4m2 (No. 115); the cell edges are 4.2843, 4.2843 and 10.3254 Å and the angles 90.00°, 90.00° and 90.00°. The asymmetric unit holds Li at (0.0000, 0.0000, 0.0000), Pu at (0.0000, 0.5000, 0.7529), Ge at (0.0000, 0.0000, 0.5000), Ge at (0.0000, 0.5000, 0.1328), Ge at (0.5000, 0.5000, 0.5000), Pt at (0.0000, 0.5000, 0.3713) and Pt at (0.5000, 0.5000, 0.0000).

=====

[8]
Crystalline LiPuGePt at its relaxed geometry. Source: the Alexandria database, functional PBE.

The formation energy comes out at -0.4270 eV per atom. As for the calculated total energy: -7.153 eV per atom.

The structure belongs to space group F-43m (No. 216); the cell edges are 6.5803, 6.5803 and 6.5803 Å and the angles 90.00°, 90.00° and 90.00°. The asymmetric unit holds Li at (0.0000, 0.0000, 0.0000), Pu at (0.2500, 0.2500, 0.7500), Ge at (0.0000, 0.0000, 0.5000) and Pt at (0.2500, 0.2500, 0.2500).